1.
The following is a DFT calculation (PBE) of crystalline KBiN3 at its relaxed geometry.

N(E_F): 0.483 states/eV/atom
energy relative to the elements, uncorrected: 1.530 eV per atom
theoretical density: 5.364 g cm⁻³
symmetry: Pm-3m, No. 221

Lattice parameters (Å, degrees): 4.4781 4.4781 4.4781 90.00 90.00 90.00
With the nearest neighbours (Å) after each atom.
Sites, in units of the cell vectors:
K 0.0000 0.0000 0.0000  12 N 3.17
Bi 0.5000 0.5000 0.5000  6 N 2.24
N 0.0000 0.5000 0.5000  2 Bi 2.24
N 0.5000 0.0000 0.5000  2 Bi 2.24
N 0.5000 0.5000 0.0000  2 Bi 2.24


2.
The following is a DFT calculation (PBE) of crystalline KBiN2 at its relaxed geometry.

N(E_F): 0.311 states/eV/atom
energy relative to the elements, uncorrected: 0.863 eV per atom
theoretical density: 5.830 g cm⁻³
symmetry: R-3m, No. 166

Lattice parameters (Å, degrees): 7.7500 7.7500 7.7500 25.97 25.97 25.97
With the nearest neighbours (Å) after each atom.
Sites, in units of the cell vectors:
K 0.0000 0.0000 0.0000  2 N 2.57
Bi 0.5000 0.5000 0.5000  6 N 2.33
N 0.1143 0.1143 0.1143  3 Bi 2.33, 1 K 2.57
N 0.8857 0.8857 0.8857  3 Bi 2.33, 1 K 2.57


3.
The following is a DFT calculation (PBE) of crystalline KBiN3 at its relaxed geometry.

N(E_F): 1.017 states/eV/atom
energy relative to the elements, uncorrected: 2.856 eV per atom
theoretical density: 5.893 g cm⁻³
symmetry: Pm-3m, No. 221

Lattice parameters (Å, degrees): 4.3400 4.3400 4.3400 90.00 90.00 90.00
With the nearest neighbours (Å) after each atom.
Sites, in units of the cell vectors:
K 0.0000 0.0000 0.0000  6 N 2.17
Bi 0.5000 0.5000 0.5000  12 N 3.07
N 0.0000 0.0000 0.5000  2 K 2.17
N 0.0000 0.5000 0.0000  2 K 2.17
N 0.5000 0.0000 0.0000  2 K 2.17


Please write out number 2 again, unchanged.
The following is a DFT calculation (PBE) of crystalline KBiN2 at its relaxed geometry.

N(E_F): 0.311 states/eV/atom
energy relative to the elements, uncorrected: 0.863 eV per atom
theoretical density: 5.830 g cm⁻³
symmetry: R-3m, No. 166

Lattice parameters (Å, degrees): 7.7500 7.7500 7.7500 25.97 25.97 25.97
With the nearest neighbours (Å) after each atom.
Sites, in units of the cell vectors:
K 0.0000 0.0000 0.0000  2 N 2.57
Bi 0.5000 0.5000 0.5000  6 N 2.33
N 0.1143 0.1143 0.1143  3 Bi 2.33, 1 K 2.57
N 0.8857 0.8857 0.8857  3 Bi 2.33, 1 K 2.57


The lowest energy relative to the elements, uncorrected belongs to which entry? KBiN2


Which of these has the highest theoretical density? number 3


Among the records above, which one has the lowest N(E_F)? KBiN2